--- P ---
# NaCdIn

A geometry-optimized NaCdIn structure (PBE, Alexandria via LeMat-Bulk).

a = 8.0953 Å, b = 8.0953 Å, c = 5.6802 Å
α = 97.45°, β = 97.45°, γ = 24.37°
Atoms (fractional coordinates):
Na 0.0820 0.0820 0.3587
Na 0.9180 0.9180 0.6414
Cd 0.2508 0.2508 0.7439
Cd 0.7492 0.7492 0.2561
In 0.4082 0.4082 0.1269
In 0.5918 0.5918 0.8731

Results
- SG: C2/m, No. 12

***

--- Q ---
# NaCdIn

A geometry-optimized NaCdIn structure (PBE, Alexandria via LeMat-Bulk).

a = 4.9779 Å, b = 4.9779 Å, c = 4.9779 Å
α = 60.00°, β = 60.00°, γ = 60.00°
Atoms (fractional coordinates):
Na 0.0000 0.0000 0.0000
Cd 0.2500 0.2500 0.2500
In 0.5000 0.5000 0.5000

Results
- SG: F-43m, No. 216

***

Which structure is most stable, and how do the rest compare? From most to least stable: P, Q.

***

--- P ---
# Na3CdIn

A geometry-optimized Na3CdIn structure (PBE, Alexandria via LeMat-Bulk).

a = 5.7366 Å, b = 5.7366 Å, c = 5.7366 Å
α = 90.00°, β = 90.00°, γ = 90.00°
Atoms (fractional coordinates):
Na 0.0000 0.0000 0.5000
Na 0.0000 0.5000 0.0000
Na 0.5000 0.0000 0.0000
Cd 0.0000 0.0000 0.0000
In 0.5000 0.5000 0.5000

Results
- SG: Pm-3m, No. 221

***

--- Q ---
# Na3CdIn

A geometry-optimized Na3CdIn structure (PBE, Alexandria via LeMat-Bulk).

a = 6.3309 Å, b = 5.2726 Å, c = 8.2710 Å
α = 90.00°, β = 104.01°, γ = 90.00°
Atoms (fractional coordinates):
Na 0.0541 0.2500 0.3400
Na 0.2488 0.2500 0.7426
Na 0.4363 0.2500 0.1498
Na 0.5637 0.7500 0.8502
Na 0.7512 0.7500 0.2574
Na 0.9459 0.7500 0.6600
Cd 0.1257 0.7500 0.0595
Cd 0.8743 0.2500 0.9405
In 0.3620 0.7500 0.4439
In 0.6380 0.2500 0.5561

Results
- SG: P2_1/m, No. 11

***

Which structure is most stable, and how do the rest compare? From most to least stable: Q, P.

***

--- P ---
# NaCd4In5

A geometry-optimized NaCd4In5 structure (PBE, Alexandria via LeMat-Bulk).

a = 3.3604 Å, b = 4.4634 Å, c = 16.8099 Å
α = 90.00°, β = 90.00°, γ = 90.00°
Atoms (fractional coordinates):
Na 0.0000 0.0000 0.0000
Cd 0.0000 0.0000 0.2016
Cd 0.0000 0.0000 0.3997
Cd 0.0000 0.0000 0.6003
Cd 0.0000 0.0000 0.7984
In 0.5000 0.5000 0.1090
In 0.5000 0.5000 0.3031
In 0.5000 0.5000 0.5000
In 0.5000 0.5000 0.6969
In 0.5000 0.5000 0.8910

Results
- SG: Pmmm, No. 47

***

--- Q ---
# NaCd4In5

A geometry-optimized NaCd4In5 structure (PBE, Alexandria via LeMat-Bulk).

a = 7.3338 Å, b = 7.3338 Å, c = 7.3338 Å
α = 99.91°, β = 99.91°, γ = 130.97°
Atoms (fractional coordinates):
Na 0.0000 0.0000 0.0000
Cd 0.4597 0.5910 0.6162
Cd 0.5910 0.9748 0.1313
Cd 0.8435 0.4597 0.8687
Cd 0.9748 0.8435 0.3838
In 0.1422 0.5540 0.2658
In 0.2882 0.8764 0.7342
In 0.4832 0.4832 0.0000
In 0.5540 0.2882 0.4118
In 0.8764 0.1422 0.5882

Results
- SG: I4, No. 79

***

Which structure is most stable, and how do the rest compare? From most to least stable: P, Q.

***

--- P ---
# NaCd5In4

A geometry-optimized NaCd5In4 structure (PBE, Alexandria via LeMat-Bulk).

a = 8.2227 Å, b = 8.2227 Å, c = 6.7952 Å
α = 95.32°, β = 95.32°, γ = 37.08°
Atoms (fractional coordinates):
Na 0.0000 0.0000 0.0000
Cd 0.0000 0.0000 0.5000
Cd 0.3089 0.3089 0.4861
Cd 0.3356 0.3356 0.0005
Cd 0.6644 0.6644 0.9995
Cd 0.6911 0.6911 0.5139
In 0.1675 0.1675 0.7549
In 0.4892 0.4892 0.7340
In 0.5108 0.5108 0.2660
In 0.8325 0.8325 0.2451

Results
- SG: C2/m, No. 12

***

--- Q ---
# NaCd5In4

A geometry-optimized NaCd5In4 structure (PBE, Alexandria via LeMat-Bulk).

a = 3.3272 Å, b = 3.3272 Å, c = 22.6627 Å
α = 90.00°, β = 90.00°, γ = 90.00°
Atoms (fractional coordinates):
Na 0.0000 0.0000 0.0000
Cd 0.5000 0.5000 0.1026
Cd 0.5000 0.5000 0.3002
Cd 0.5000 0.5000 0.5000
Cd 0.5000 0.5000 0.6998
Cd 0.5000 0.5000 0.8974
In 0.0000 0.0000 0.2026
In 0.0000 0.0000 0.3997
In 0.0000 0.0000 0.6003
In 0.0000 0.0000 0.7974

Results
- SG: P4/mmm, No. 123

***

Which structure is most stable, and how do the rest compare? From most to least stable: Q, P.

***

--- P ---
# NaCd3In6

A geometry-optimized NaCd3In6 structure (PBE, Alexandria via LeMat-Bulk).

a = 8.7350 Å, b = 8.7350 Å, c = 7.6419 Å
α = 90.00°, β = 90.00°, γ = 110.17°
Atoms (fractional coordinates):
Na 0.2408 0.7592 0.5000
Na 0.7592 0.2408 0.0000
Cd 0.0121 0.2975 0.3519
Cd 0.2975 0.0121 0.8519
Cd 0.4563 0.5437 0.7384
Cd 0.5437 0.4563 0.2384
Cd 0.7025 0.9879 0.3519
Cd 0.9879 0.7025 0.8519
In 0.0385 0.9615 0.2507
In 0.0721 0.4211 0.7256
In 0.2287 0.3005 0.0385
In 0.3005 0.2287 0.5385
In 0.3086 0.6914 0.0699
In 0.4211 0.0721 0.2256
In 0.5789 0.9279 0.7256
In 0.6914 0.3086 0.5699
In 0.6995 0.7713 0.0385
In 0.7713 0.6995 0.5385
In 0.9279 0.5789 0.2256
In 0.9615 0.0385 0.7507

Results
- SG: Cmc2_1, No. 36

***

--- Q ---
# NaCd3In6

A geometry-optimized NaCd3In6 structure (PBE, Alexandria via LeMat-Bulk).

a = 8.6429 Å, b = 5.6658 Å, c = 11.3257 Å
α = 90.00°, β = 110.76°, γ = 90.00°
Atoms (fractional coordinates):
Na 0.1007 0.2500 0.0685
Na 0.8993 0.7500 0.9315
Cd 0.1103 0.7500 0.7371
Cd 0.2969 0.2500 0.8682
Cd 0.3000 0.7500 0.5359
Cd 0.7000 0.2500 0.4641
Cd 0.7031 0.7500 0.1318
Cd 0.8897 0.2500 0.2629
In 0.0964 0.2500 0.5680
In 0.1001 0.7500 0.2387
In 0.2943 0.2500 0.3672
In 0.3077 0.7500 0.0389
In 0.4937 0.2500 0.6614
In 0.4978 0.7500 0.8332
In 0.5022 0.2500 0.1668
In 0.5063 0.7500 0.3386
In 0.6923 0.2500 0.9611
In 0.7057 0.7500 0.6328
In 0.8999 0.2500 0.7613
In 0.9036 0.7500 0.4320

Results
- SG: P2_1/m, No. 11

***

Which structure is most stable, and how do the rest compare? From most to least stable: Q, P.

***

--- P ---
# Na4CdIn2

A geometry-optimized Na4CdIn2 structure (PBE, Alexandria via LeMat-Bulk).

a = 8.7835 Å, b = 8.7835 Å, c = 8.7835 Å
α = 141.50°, β = 141.50°, γ = 55.59°
Atoms (fractional coordinates):
Na 0.0000 0.5000 0.5000
Na 0.1994 0.1994 0.0000
Na 0.5000 0.0000 0.5000
Na 0.8006 0.8006 0.0000
Cd 0.0000 0.0000 0.0000
In 0.4017 0.4017 0.0000
In 0.5983 0.5983 0.0000

Results
- SG: I4/mmm, No. 139

***

--- Q ---
# Na4CdIn2

A geometry-optimized Na4CdIn2 structure (PBE, Alexandria via LeMat-Bulk).

a = 5.5826 Å, b = 5.5826 Å, c = 11.1765 Å
α = 102.31°, β = 102.31°, γ = 35.93°
Atoms (fractional coordinates):
Na 0.0327 0.0327 0.2898
Na 0.2582 0.2582 0.1359
Na 0.7418 0.7418 0.8641
Na 0.9673 0.9673 0.7102
Cd 0.5000 0.5000 0.0000
In 0.3461 0.3461 0.4417
In 0.6539 0.6539 0.5583

Results
- SG: C2/m, No. 12

***

Which structure is most stable, and how do the rest compare? From most to least stable: Q, P.

***

--- P ---
# NaCd2In6

A geometry-optimized NaCd2In6 structure (PBE, Alexandria via LeMat-Bulk).

a = 9.9971 Å, b = 9.9971 Å, c = 4.6674 Å
α = 90.00°, β = 90.00°, γ = 90.00°
Atoms (fractional coordinates):
Na 0.0000 0.0000 0.0000
Na 0.5000 0.5000 0.5000
Cd 0.1671 0.1671 0.5000
Cd 0.3329 0.6671 0.0000
Cd 0.6671 0.3329 0.0000
Cd 0.8329 0.8329 0.5000
In 0.0002 0.3337 0.0000
In 0.9998 0.6663 0.0000
In 0.1663 0.5002 0.5000
In 0.1671 0.8329 0.5000
In 0.3329 0.3329 0.0000
In 0.3337 0.0002 0.0000
In 0.5002 0.1663 0.5000
In 0.4998 0.8337 0.5000
In 0.6663 0.9998 0.0000
In 0.6671 0.6671 0.0000
In 0.8329 0.1671 0.5000
In 0.8337 0.4998 0.5000

Results
- SG: P4_2/mnm, No. 136

***

--- Q ---
# NaCd2In6

A geometry-optimized NaCd2In6 structure (PBE, Alexandria via LeMat-Bulk).

a = 8.8747 Å, b = 8.8747 Å, c = 3.2898 Å
α = 99.16°, β = 99.16°, γ = 69.10°
Atoms (fractional coordinates):
Na 0.0000 0.0000 0.0000
Cd 0.3715 0.3715 0.9015
Cd 0.6285 0.6285 0.0985
In 0.0297 0.3403 0.6936
In 0.3031 0.6969 0.5000
In 0.3403 0.0297 0.6936
In 0.6597 0.9703 0.3064
In 0.6969 0.3031 0.5000
In 0.9703 0.6597 0.3064

Results
- SG: C2/m, No. 12

***

Which structure is most stable, and how do the rest compare? From most to least stable: P, Q.

***

--- P ---
# NaCd4In7

A geometry-optimized NaCd4In7 structure (PBE, Alexandria via LeMat-Bulk).

a = 7.1262 Å, b = 7.1262 Å, c = 10.7941 Å
α = 121.52°, β = 121.52°, γ = 48.01°
Atoms (fractional coordinates):
Na 0.0000 0.0000 0.0000
Cd 0.2105 0.2105 0.7629
Cd 0.4088 0.4088 0.6818
Cd 0.5912 0.5912 0.3182
Cd 0.7895 0.7895 0.2371
In 0.0719 0.0719 0.4161
In 0.2784 0.2784 0.3549
In 0.3053 0.3053 0.0923
In 0.5000 0.5000 0.0000
In 0.6947 0.6947 0.9077
In 0.7216 0.7216 0.6451
In 0.9281 0.9281 0.5839

Results
- SG: C2/m, No. 12

***

--- Q ---
# NaCd4In7

A geometry-optimized NaCd4In7 structure (PBE, Alexandria via LeMat-Bulk).

a = 5.3417 Å, b = 5.3417 Å, c = 12.6819 Å
α = 90.00°, β = 90.00°, γ = 120.00°
Atoms (fractional coordinates):
Na 0.0000 0.0000 0.0000
Cd 0.3333 0.6667 0.1264
Cd 0.3333 0.6667 0.3676
Cd 0.6667 0.3333 0.6324
Cd 0.6667 0.3333 0.8736
In 0.0000 0.0000 0.2508
In 0.0000 0.0000 0.5000
In 0.0000 0.0000 0.7492
In 0.3333 0.6667 0.6081
In 0.3333 0.6667 0.8704
In 0.6667 0.3333 0.1296
In 0.6667 0.3333 0.3919

Results
- SG: P-3m1, No. 164

***

Which structure is most stable, and how do the rest compare? From most to least stable: Q, P.

***

--- P ---
# NaCd2In3

A geometry-optimized NaCd2In3 structure (PBE, Alexandria via LeMat-Bulk).

a = 8.9563 Å, b = 8.9563 Å, c = 8.9563 Å
α = 148.88°, β = 118.69°, γ = 70.36°
Atoms (fractional coordinates):
Na 0.1270 0.1270 0.0000
Na 0.8730 0.8730 0.0000
Cd 0.1534 0.5000 0.6534
Cd 0.3026 0.8026 0.5000
Cd 0.6974 0.1974 0.5000
Cd 0.8466 0.5000 0.3466
In 0.1130 0.3198 0.7932
In 0.3397 0.0000 0.3397
In 0.4734 0.6802 0.7932
In 0.5266 0.3198 0.2068
In 0.6603 0.0000 0.6603
In 0.8870 0.6802 0.2068

Results
- SG: Immm, No. 71

***

--- Q ---
# NaCd2In3

A geometry-optimized NaCd2In3 structure (PBE, Alexandria via LeMat-Bulk).

a = 8.9056 Å, b = 8.9056 Å, c = 8.9056 Å
α = 43.51°, β = 43.51°, γ = 43.51°
Atoms (fractional coordinates):
Na 0.2215 0.2215 0.2215
Na 0.7785 0.7785 0.7785
Cd 0.0000 0.0000 0.0000
Cd 0.0000 0.5000 0.5000
Cd 0.5000 0.0000 0.5000
Cd 0.5000 0.5000 0.0000
In 0.2267 0.7232 0.7232
In 0.2768 0.2768 0.7733
In 0.2768 0.7733 0.2768
In 0.7232 0.2267 0.7232
In 0.7232 0.7232 0.2267
In 0.7733 0.2768 0.2768

Results
- SG: R-3m, No. 166

***

Which structure is most stable, and how do the rest compare? From most to least stable: P, Q.

***

--- P ---
# NaCd3In

A geometry-optimized NaCd3In structure (PBE, Alexandria via LeMat-Bulk).

a = 6.1800 Å, b = 13.7329 Å, c = 6.2264 Å
α = 90.00°, β = 90.00°, γ = 90.00°
Atoms (fractional coordinates):
Na 0.0000 0.0000 0.0000
Na 0.0000 0.5000 0.0000
Na 0.5000 0.0000 0.5000
Na 0.5000 0.5000 0.5000
Cd 0.0000 0.1027 0.4984
Cd 0.0000 0.3973 0.4984
Cd 0.0000 0.6027 0.5016
Cd 0.0000 0.8973 0.5016
Cd 0.1851 0.2500 0.1828
Cd 0.3149 0.7500 0.6828
Cd 0.5000 0.1027 0.0016
Cd 0.5000 0.3973 0.0016
Cd 0.5000 0.6027 0.9984
Cd 0.5000 0.8973 0.9984
Cd 0.6851 0.2500 0.3172
Cd 0.8149 0.7500 0.8172
In 0.1692 0.7500 0.1736
In 0.3308 0.2500 0.6736
In 0.6692 0.7500 0.3264
In 0.8308 0.2500 0.8264

Results
- SG: Pnma, No. 62

***

--- Q ---
# NaCd3In

A geometry-optimized NaCd3In structure (PBE, Alexandria via LeMat-Bulk).

a = 5.5901 Å, b = 5.5901 Å, c = 5.5901 Å
α = 90.00°, β = 90.00°, γ = 90.00°
Atoms (fractional coordinates):
Na 0.0000 0.0000 0.0000
Cd 0.0000 0.5000 0.5000
Cd 0.5000 0.0000 0.5000
Cd 0.5000 0.5000 0.0000
In 0.5000 0.5000 0.5000

Results
- SG: Pm-3m, No. 221

***

Which structure is most stable, and how do the rest compare? From most to least stable: P, Q.